Entry 1:
{
  "formula": "MgB2N2",
  "functional": "PBE-GGA",
  "state": "relaxed",
  "relative_energy_mev_per_atom": 3461,
  "raw_formation_energy_ev_per_atom": 3.120,
  "spacegroup": "P4/mmm (123)",
  "lattice_angstrom": [[4.6106, 0.0000, 0.0000], [0.0000, 4.6106, 0.0000], [0.0000, 0.0000, 3.7893]],
  "species": ["Mg", "B", "B", "N", "N"],
  "fractional_positions": [[0.0000, 0.0000, 0.0000], [0.0000, 0.5000, 0.0000], [0.5000, 0.0000, 0.0000], [0.0000, 0.0000, 0.5000], [0.5000, 0.5000, 0.5000]]
}

---

Entry 2:
{
  "formula": "CuTc2Br",
  "functional": "PBE-GGA",
  "state": "relaxed",
  "relative_energy_mev_per_atom": 0,
  "raw_formation_energy_ev_per_atom": 0.355,
  "spacegroup": "Pm (6)",
  "lattice_angstrom": [[3.1124, 0.0000, 0.0000], [0.0000, 3.0424, 0.0000], [-0.0577, 0.0000, 7.3497]],
  "species": ["Cu", "Tc", "Tc", "Br"],
  "fractional_positions": [[0.0000, 0.0000, 0.0000], [0.4951, 0.5000, 0.7749], [0.9916, 0.0000, 0.5931], [0.9847, 0.5000, 0.2978]]
}

---

What did the second record say?
{
  "formula": "CuTc2Br",
  "functional": "PBE-GGA",
  "state": "relaxed",
  "relative_energy_mev_per_atom": 0,
  "raw_formation_energy_ev_per_atom": 0.355,
  "spacegroup": "Pm (6)",
  "lattice_angstrom": [[3.1124, 0.0000, 0.0000], [0.0000, 3.0424, 0.0000], [-0.0577, 0.0000, 7.3497]],
  "species": ["Cu", "Tc", "Tc", "Br"],
  "fractional_positions": [[0.0000, 0.0000, 0.0000], [0.4951, 0.5000, 0.7749], [0.9916, 0.0000, 0.5931], [0.9847, 0.5000, 0.2978]]
}